Below is crystalline MgBiN2F at its relaxed geometry, with properties calculated at the PBE-GGA level.

**E_tot**: -24.2 eV per formula unit
**Raw formation energy**: -0.903 kcal/mol of atoms
**Total magnetic moment**: 1.98 μB per cell
**Space-group type**: P4/mmm
**Energy above the most stable polymorph in this dataset**: 0.0 kJ per mole of atoms

Lattice parameters (Å, degrees): 4.1959 4.1959 3.7464 90.00 90.00 90.00
Positions (direct):
Mg  0.0000  0.0000  0.0000
Bi  0.5000  0.5000  0.5000
N  0.0000  0.5000  0.0000
N  0.5000  0.0000  0.0000
F  0.0000  0.0000  0.5000

---

Below is crystalline CaLa2Cu at its relaxed geometry, with properties calculated at the PBE-GGA level.

**E_tot**: -15.7 eV per formula unit
**Total magnetic moment**: 0.00 μB per cell
**Space-group type**: R3m
**Energy above the most stable polymorph in this dataset**: 9.8 kJ per mole of atoms
**Energy of formation**: 0.070 eV per atom

Lattice parameters (Å, degrees): 10.8111 10.8111 10.8111 20.50 20.50 20.50
Positions (direct):
Ca  0.0000  0.0000  0.0000
La  0.2285  0.2285  0.2285
La  0.4363  0.4363  0.4363
Cu  0.8324  0.8324  0.8324

---

Below is crystalline CsVS3 at its relaxed geometry, with properties calculated at the PBE-GGA level.

**E_tot**: -27.0 eV per formula unit
**Raw formation energy**: -21.476 kcal/mol of atoms
**Total magnetic moment**: 0.00 μB per cell
**Space-group type**: C2/c
**Energy above the most stable polymorph in this dataset**: 5.2 kJ per mole of atoms

Lattice parameters (Å, degrees): 10.1510 10.1510 6.9920 92.89 92.89 97.07
Positions (direct):
Cs  0.1081  0.8919  0.7500
Cs  0.3421  0.6579  0.2500
Cs  0.6579  0.3421  0.7500
Cs  0.8919  0.1081  0.2500
V  0.2056  0.3588  0.7553
V  0.3588  0.2056  0.2553
V  0.6412  0.7944  0.7447
V  0.7944  0.6412  0.2447
S  0.0290  0.2278  0.7389
S  0.1629  0.5537  0.7912
S  0.2278  0.0290  0.2389
S  0.3239  0.3514  0.4935
S  0.3514  0.3239  0.9935
S  0.4463  0.8371  0.7088
S  0.5537  0.1629  0.2912
S  0.6486  0.6761  0.0065
S  0.6761  0.6486  0.5065
S  0.7722  0.9710  0.7611
S  0.8371  0.4463  0.2088
S  0.9710  0.7722  0.2611

---

Below is crystalline Ag3I4 at its relaxed geometry, with properties calculated at the PBE-GGA level.

**E_tot**: -16.0 eV per formula unit
**Raw formation energy**: -4.220 kcal/mol of atoms
**Total magnetic moment**: 0.00 μB per cell
**Space-group type**: P-43m

Lattice parameters (Å, degrees): 6.4189 6.4189 6.4189 90.00 90.00 90.00
Positions (direct):
Ag  0.0000  0.0000  0.5000
Ag  0.0000  0.5000  0.0000
Ag  0.5000  0.0000  0.0000
I  0.2608  0.2608  0.7392
I  0.2608  0.7392  0.2608
I  0.7392  0.2608  0.2608
I  0.7392  0.7392  0.7392

---

Below is crystalline Ho4HgSe2S at its relaxed geometry, with properties calculated at the PBE-GGA level.

**E_tot**: -41.2 eV per formula unit
**Raw formation energy**: -33.097 kcal/mol of atoms
**Total magnetic moment**: 0.00 μB per cell
**Space-group type**: P2/m

Lattice parameters (Å, degrees): 7.1487 3.9697 7.1566 90.00 108.27 90.00
Positions (direct):
Ho  0.2388  0.0000  0.2377
Ho  0.2511  0.5000  0.7573
Ho  0.7489  0.5000  0.2427
Ho  0.7612  0.0000  0.7623
Hg  0.0000  0.0000  0.5000
Se  0.5000  0.0000  0.0000
Se  0.5000  0.5000  0.5000
S  0.0000  0.5000  0.0000

---

Below is crystalline ScFe2Ir at its relaxed geometry, with properties calculated at the PBE-GGA level.

**E_tot**: -33.0 eV per formula unit
**Total magnetic moment**: 5.12 μB per cell
**Space-group type**: Fm-3m
**Energy of formation**: -0.218 eV per atom

Lattice parameters (Å, degrees): 4.3260 4.3260 4.3260 60.00 60.00 60.00
Positions (direct):
Sc  0.0000  0.0000  0.0000
Fe  0.2500  0.2500  0.2500
Fe  0.7500  0.7500  0.7500
Ir  0.5000  0.5000  0.5000

---

Below is crystalline Dy2IO at its relaxed geometry, with properties calculated at the PBE-GGA level.

**E_tot**: -22.1 eV per formula unit
**Raw formation energy**: -36.997 kcal/mol of atoms
**Total magnetic moment**: 0.00 μB per cell
**Space-group type**: R-3m

Lattice parameters (Å, degrees): 7.6769 7.6769 7.6769 27.77 27.77 27.77
Positions (direct):
Dy  0.2219  0.2219  0.2219
Dy  0.7781  0.7781  0.7781
I  0.0000  0.0000  0.0000
O  0.5000  0.5000  0.5000

---

Below is crystalline LiZrFe2 at its relaxed geometry, with properties calculated at the PBE-GGA level.

**E_tot**: -26.8 eV per formula unit
**Total magnetic moment**: 3.43 μB per cell
**Space-group type**: F-43m
**Energy of formation**: 0.148 eV per atom

Lattice parameters (Å, degrees): 4.3159 4.3159 4.3159 60.00 60.00 60.00
Positions (direct):
Li  0.0000  0.0000  0.0000
Zr  0.2500  0.2500  0.2500
Fe  0.5000  0.5000  0.5000
Fe  0.7500  0.7500  0.7500

---

Below is crystalline Nd2Er3Tl3 at its relaxed geometry, with properties calculated at the PBE-GGA level.

**E_tot**: -32.2 eV per formula unit
**Total magnetic moment**: 0.00 μB per cell
**Space-group type**: Immm
**Energy of formation**: -0.235 eV per atom

Lattice parameters (Å, degrees): 11.8698 11.8698 11.8698 161.70 153.75 32.19
Positions (direct):
Nd  0.2342  0.2342  0.0000
Nd  0.7658  0.7658  0.0000
Er  0.0000  0.0000  0.0000
Er  0.3773  0.8773  0.5000
Er  0.6227  0.1227  0.5000
Tl  0.1154  0.6154  0.5000
Tl  0.5000  0.5000  0.0000
Tl  0.8846  0.3846  0.5000

---

Below is crystalline K3PaTi2O9 at its relaxed geometry, with properties calculated at the PBE-GGA level.

**E_tot**: -111.0 eV per formula unit
**Raw formation energy**: -58.057 kcal/mol of atoms
**Total magnetic moment**: 2.08 μB per cell
**Space-group type**: P-3m1

Lattice parameters (Å, degrees): 5.7977 5.7977 7.1255 90.00 90.00 120.00
Positions (direct):
K  0.0000  0.0000  0.0000
K  0.3333  0.6667  0.6743
K  0.6667  0.3333  0.3257
Pa  0.0000  0.0000  0.5000
Ti  0.3333  0.6667  0.1567
Ti  0.6667  0.3333  0.8433
O  0.0000  0.5000  0.0000
O  0.1745  0.3490  0.3197
O  0.1745  0.8255  0.3197
O  0.3490  0.1745  0.6803
O  0.5000  0.0000  0.0000
O  0.5000  0.5000  0.0000
O  0.6510  0.8255  0.3197
O  0.8255  0.1745  0.6803
O  0.8255  0.6510  0.6803

---

Repeat the ninth record exactly.
Below is crystalline Nd2Er3Tl3 at its relaxed geometry, with properties calculated at the PBE-GGA level.

**E_tot**: -32.2 eV per formula unit
**Total magnetic moment**: 0.00 μB per cell
**Space-group type**: Immm
**Energy of formation**: -0.235 eV per atom

Lattice parameters (Å, degrees): 11.8698 11.8698 11.8698 161.70 153.75 32.19
Positions (direct):
Nd  0.2342  0.2342  0.0000
Nd  0.7658  0.7658  0.0000
Er  0.0000  0.0000  0.0000
Er  0.3773  0.8773  0.5000
Er  0.6227  0.1227  0.5000
Tl  0.1154  0.6154  0.5000
Tl  0.5000  0.5000  0.0000
Tl  0.8846  0.3846  0.5000